# 1
This record from Alexandria via LeMat-Bulk describes an optimized crystal structure of TbPu3Zr2N6. The functional is PBE.

Cell lengths 5.8973, 5.8973, 5.8938 Å; angles 99.61, 99.61, 119.94 degrees
Closest atoms and distances in Å follow each position.
Fractional coordinates of all 12 atoms:
Tb: 0.0000 0.0000 0.0000  6 N 2.44
Pu: 0.1657 0.8343 0.5000  6 N 2.38-2.47
Pu: 0.8343 0.1657 0.5000  6 N 2.38-2.47
Pu: 0.5000 0.5000 0.5000  6 N 2.38-2.46
Zr: 0.3333 0.6667 0.0000  6 N 2.34-2.35
Zr: 0.6667 0.3333 0.0000  6 N 2.34-2.35
N: 0.9191 0.5733 0.7578  2 Zr 2.35, 3 Pu 2.38-2.46, 1 Tb 2.44
N: 0.7334 0.7334 0.2397  2 Zr 2.34, 3 Pu 2.38-2.47, 1 Tb 2.44
N: 0.0809 0.4267 0.2422  2 Zr 2.35, 3 Pu 2.38-2.46, 1 Tb 2.44
N: 0.5733 0.9191 0.7578  2 Zr 2.35, 3 Pu 2.38-2.46, 1 Tb 2.44
N: 0.2666 0.2666 0.7603  2 Zr 2.34, 3 Pu 2.38-2.47, 1 Tb 2.44
N: 0.4267 0.0809 0.2422  2 Zr 2.35, 3 Pu 2.38-2.46, 1 Tb 2.44

Results
Symmetry: No. 12
N(E_F) in states/eV/atom: 1.6017
Volume in Å³/f.u.: 167.45
Crystal system: monoclinic
Total magnetic moment in μB/f.u.: 14.3
Uncorrected formation energy in eV/atom: -1.49

=====

# 2
This record from Alexandria via LeMat-Bulk describes an optimized crystal structure of TbPu2ZrN4. The functional is PBE.

Cell lengths 3.4249, 5.9505, 5.9109 Å; angles 109.45, 90.00, 90.00 degrees
Closest atoms and distances in Å follow each position.
Fractional coordinates of all 8 atoms:
Tb: 0.5000 0.5000 0.0000  6 N 2.45-2.46
Pu: 0.5000 0.0000 0.5000  6 N 2.39
Pu: 0.0000 0.5000 0.5000  6 N 2.48-2.49
Zr: 0.0000 0.0000 0.0000  6 N 2.35-2.37
N: 0.5000 0.2354 0.2418  2 Zr 2.37, 3 Pu 2.39-2.48, 1 Tb 2.45
N: 0.5000 0.7646 0.7582  2 Zr 2.37, 3 Pu 2.39-2.48, 1 Tb 2.45
N: 0.0000 0.2360 0.7507  1 Zr 2.35, 3 Pu 2.39-2.49, 2 Tb 2.46
N: 0.0000 0.7640 0.2493  1 Zr 2.35, 3 Pu 2.39-2.49, 2 Tb 2.46

Results
Symmetry: No. 10
N(E_F) in states/eV/atom: 1.5686
Volume in Å³/f.u.: 113.59
Crystal system: monoclinic
Total magnetic moment in μB/f.u.: 9.6
Uncorrected formation energy in eV/atom: -1.48